Entry from the Alexandria database: a geometry-optimized Li3CoO3 structure (PBE+U).

## Properties
The calculation puts the total DFT energy (no corrections) at -5.26 eV per atom. The space group is No. 2.

Unit cell a=5.254 b=5.422 c=5.659 alpha=62.18 beta=89.53 gamma=88.24
Atoms (fractional coordinates):
Li1 0.051 0.257 0.499
Li2 0.377 0.005 0.291
Li3 0.403 0.523 0.694
Li4 0.597 0.477 0.306
Li5 0.623 0.995 0.709
Li6 0.949 0.743 0.501
Co1 0.157 0.704 0.001
Co2 0.843 0.296 0.999
O1 0.206 0.333 0.017
O2 0.252 0.633 0.337
O3 0.265 0.920 0.664
O4 0.735 0.080 0.336
O5 0.748 0.367 0.663
O6 0.794 0.667 0.983